Model 1:
# TbCeNd2

A relaxed TbCeNd2 crystal (PBE, the Alexandria database).

Properties
Its density of states at the Fermi level is 41.75 states/eV/cell.

Unit cell a=8.1557 b=8.1557 c=8.1557 alpha=90.00 beta=90.00 gamma=90.00
Last column: nearest neighbours and their distance in Å.
Space group Fm-3m (No. 225)
Symmetry-distinct sites (fractional):
Tb: 0.0000 0.0000 0.0000 [4 per cell]  8 Nd 3.53
Ce: 0.0000 0.0000 0.5000 [4 per cell]  8 Nd 3.53
Nd: 0.2500 0.2500 0.2500 [8 per cell]  4 Tb 3.53, 4 Ce 3.53

---

Model 2:
# TbCeNd2

A relaxed TbCeNd2 crystal (PBE, the Alexandria database).

Properties
Its density of states at the Fermi level is 8.06 states/eV/cell.

Unit cell a=3.5816 b=3.5816 c=10.2692 alpha=90.00 beta=90.00 gamma=90.00
Last column: nearest neighbours and their distance in Å.
Space group P4/mmm (No. 123)
Symmetry-distinct sites (fractional):
Tb: 0.0000 0.0000 0.0000 [1 per cell]  4 Tb 3.58, 8 Nd 3.65
Ce: 0.0000 0.0000 0.5000 [1 per cell]  8 Nd 3.56, 4 Ce 3.58
Nd: 0.5000 0.5000 0.2562 [2 per cell]  4 Ce 3.56, 4 Nd 3.58, 4 Tb 3.65

---

Q: Which of them is the least stable? A: model 1.

---

Model 1:
# TbCeNd2

A relaxed TbCeNd2 crystal (PBE, the Alexandria database).

Properties
Its density of states at the Fermi level is 8.33 states/eV/cell.

Unit cell a=5.0997 b=5.0997 c=5.0988 alpha=90.00 beta=90.00 gamma=90.00
Last column: nearest neighbours and their distance in Å.
Space group P4/mmm (No. 123)
Symmetry-distinct sites (fractional):
Tb: 0.0000 0.0000 0.0000 [1 per cell]  8 Nd 3.61, 4 Ce 3.61
Ce: 0.5000 0.5000 0.0000 [1 per cell]  8 Nd 3.61, 4 Tb 3.61
Nd: 0.0000 0.5000 0.5000 [2 per cell]  4 Tb 3.61, 4 Ce 3.61, 4 Nd 3.61

---

Model 2:
# TbCeNd2

A relaxed TbCeNd2 crystal (PBE, the Alexandria database).

Properties
Its density of states at the Fermi level is 24.58 states/eV/cell.

Unit cell a=3.4841 b=3.4841 c=37.7065 alpha=90.00 beta=90.00 gamma=120.00
Last column: nearest neighbours and their distance in Å.
Space group R-3m (No. 166, hexagonal axes)
Symmetry-distinct sites (fractional):
Tb: 0.0000 0.0000 0.0000 [3 per cell]  6 Tb 3.48, 6 Nd 3.58
Ce: 0.0000 0.0000 0.5000 [3 per cell]  2 Nd 3.32, 6 Ce 3.48
Nd: 0.0000 0.0000 0.4120 [6 per cell]  1 Ce 3.32, 6 Nd 3.48, 3 Tb 3.58

---

Q: Which of them is the least stable? A: model 2.

---

Model 1:
# Tb6CeNd

A relaxed Tb6CeNd crystal (PBE, the Alexandria database).

Properties
Its density of states at the Fermi level is 12.68 states/eV/cell.

Unit cell a=5.0498 b=5.0498 c=10.0877 alpha=90.00 beta=90.00 gamma=90.00
Last column: nearest neighbours and their distance in Å.
Space group P4/mmm (No. 123)
Symmetry-distinct sites (fractional):
Tb: 0.0000 0.0000 0.0000 [1 per cell]  8 Tb 3.54, 4 Ce 3.57
Tb: 0.0000 0.0000 0.5000 [1 per cell]  4 Nd 3.57, 8 Tb 3.59
Tb: 0.0000 0.5000 0.2464 [4 per cell]  8 Tb 3.54-3.59, 2 Ce 3.54, 2 Nd 3.59
Ce: 0.5000 0.5000 0.0000 [1 per cell]  12 Tb 3.54-3.57
Nd: 0.5000 0.5000 0.5000 [1 per cell]  12 Tb 3.57-3.59

---

Model 2:
# Tb6CeNd

A relaxed Tb6CeNd crystal (PBE, the Alexandria database).

Properties
Its density of states at the Fermi level is 16.05 states/eV/cell.

Unit cell a=6.5352 b=6.6073 c=7.5060 alpha=114.99 beta=115.72 gamma=90.00
Last column: nearest neighbours and their distance in Å.
Space group P-1 (No. 2)
Symmetry-distinct sites (fractional):
Tb: 0.2313 0.4109 0.4625 [2 per cell]  6 Tb 3.32-3.44, 1 Nd 3.40, 1 Ce 3.44
Tb: 0.2487 0.9996 0.0001 [2 per cell]  6 Tb 3.25-3.49
Tb: 0.2599 0.9380 0.5198 [2 per cell]  6 Tb 3.32-3.49, 1 Ce 3.35, 1 Nd 3.61
Ce: 0.0000 0.5000 0.0000 [1 per cell]  2 Nd 3.27, 4 Tb 3.35-3.44
Nd: 0.5000 0.5000 0.0000 [1 per cell]  2 Ce 3.27, 4 Tb 3.40-3.61

---

Q: Which of them is the least stable? A: model 2.

---

Model 1:
# TbCeNdTh

A relaxed TbCeNdTh crystal (PBE, the Alexandria database).

Properties
Its density of states at the Fermi level is 54.67 states/eV/cell.

Unit cell a=8.0416 b=8.0416 c=8.0416 alpha=90.00 beta=90.00 gamma=90.00
Last column: nearest neighbours and their distance in Å.
Space group F-43m (No. 216)
Symmetry-distinct sites (fractional):
Tb: 0.0000 0.0000 0.0000 [4 per cell]  4 Th 3.48, 4 Nd 3.48
Ce: 0.0000 0.0000 0.5000 [4 per cell]  4 Nd 3.48, 4 Th 3.48
Nd: 0.2500 0.2500 0.2500 [4 per cell]  4 Tb 3.48, 4 Ce 3.48
Th: 0.2500 0.2500 0.7500 [4 per cell]  4 Ce 3.48, 4 Tb 3.48

---

Model 2:
# TbCeNdTh

A relaxed TbCeNdTh crystal (PBE, the Alexandria database).

Properties
Its density of states at the Fermi level is 22.86 states/eV/cell.

Unit cell a=3.5686 b=3.5686 c=34.6860 alpha=90.00 beta=90.00 gamma=120.00
Last column: nearest neighbours and their distance in Å.
Space group R3m (No. 160, hexagonal axes)
Symmetry-distinct sites (fractional):
Tb: 0.0000 0.0000 0.0000 [3 per cell]  3 Ce 3.50, 6 Tb 3.57, 3 Nd 3.68
Ce: 0.0000 0.0000 0.4149 [3 per cell]  3 Th 3.45, 3 Tb 3.50, 6 Ce 3.57
Nd: 0.0000 0.0000 0.2456 [3 per cell]  6 Nd 3.57, 3 Th 3.58, 3 Tb 3.68
Th: 0.0000 0.0000 0.8279 [3 per cell]  3 Ce 3.45, 6 Th 3.57, 3 Nd 3.58

---

Q: Which of them is the least stable? A: model 1.

---

Model 1:
# Ce3NdTc

A relaxed Ce3NdTc crystal (PBE, the Alexandria database).

Properties
Its density of states at the Fermi level is 15.08 states/eV/cell.

Unit cell a=5.3798 b=5.3798 c=5.3798 alpha=90.00 beta=90.00 gamma=90.00
Last column: nearest neighbours and their distance in Å.
Space group Pm-3m (No. 221)
Symmetry-distinct sites (fractional):
Ce: 0.0000 0.0000 0.5000 [3 per cell]  2 Tc 2.69
Nd: 0.5000 0.5000 0.5000 [1 per cell]  12 Ce 3.80
Tc: 0.0000 0.0000 0.0000 [1 per cell]  6 Ce 2.69

---

Model 2:
# Ce3NdTc

A relaxed Ce3NdTc crystal (PBE, the Alexandria database).

Properties
Its density of states at the Fermi level is 17.58 states/eV/cell.

Unit cell a=3.4249 b=6.2151 c=12.0214 alpha=86.76 beta=88.16 gamma=75.70
Last column: nearest neighbours and their distance in Å.
Space group P-1 (No. 2)
Symmetry-distinct sites (fractional):
Ce: 0.0649 0.4250 0.3209 [2 per cell]  2 Ce 2.86-3.18, 2 Tc 2.91-3.08
Ce: 0.1548 0.2211 0.0362 [2 per cell]  4 Tc 2.73-2.97
Ce: 0.2817 0.7820 0.4958 [2 per cell]  3 Ce 2.86-3.18
Nd: 0.2529 0.0401 0.7623 [2 per cell]  2 Tc 3.18-3.34, 6 Ce 3.30-3.53, 2 Nd 3.42
Tc: 0.4804 0.5682 0.1259 [2 per cell]  5 Ce 2.73-2.97

---

Q: Which of them is the least stable? A: model 1.

---

Model 1:
# CeNdTe3

A relaxed CeNdTe3 crystal (PBE, the Alexandria database).

Properties
Its density of states at the Fermi level is 24.07 states/eV/cell.

Unit cell a=15.5117 b=5.9628 c=9.9711 alpha=90.00 beta=129.49 gamma=90.00
Last column: nearest neighbours and their distance in Å.
Space group C2/m (No. 12)
Symmetry-distinct sites (fractional):
Ce: 0.1415 0.0000 0.4061 [4 per cell]  7 Te 3.16-3.52
Nd: 0.0980 0.5000 0.8510 [4 per cell]  7 Te 3.04-3.38
Te: 0.1228 0.0000 0.8214 [4 per cell]  3 Nd 3.04-3.38, 1 Ce 3.18
Te: 0.1306 0.5000 0.2076 [4 per cell]  3 Ce 3.16-3.52, 2 Nd 3.21-3.26, 2 Te 3.44-3.50
Te: 0.1383 0.5000 0.5603 [4 per cell]  3 Ce 3.21-3.37, 2 Nd 3.33-3.34, 1 Te 3.44

---

Model 2:
# CeNdTe3

A relaxed CeNdTe3 crystal (PBE, the Alexandria database).

Properties
Its density of states at the Fermi level is 27.08 states/eV/cell.

Unit cell a=8.4116 b=4.4667 c=17.5024 alpha=90.00 beta=90.00 gamma=90.00
Last column: nearest neighbours and their distance in Å.
Space group Pnma (No. 62)
Symmetry-distinct sites (fractional):
Ce: 0.1317 0.2500 0.2041 [4 per cell]  8 Te 3.17-3.52
Nd: 0.2325 0.7500 0.4571 [4 per cell]  7 Te 3.19-3.32
Te: 0.0012 0.2500 0.3901 [4 per cell]  3 Nd 3.19-3.32, 2 Ce 3.44-3.52
Te: 0.1199 0.7500 0.0680 [4 per cell]  3 Nd 3.21-3.29, 2 Ce 3.27, 1 Te 3.51
Te: 0.1534 0.2500 0.7805 [4 per cell]  4 Ce 3.17-3.29, 1 Nd 3.24, 1 Te 3.51

---

Q: Which of them is the least stable? A: model 1.